## La3I2Br3 (PBE)

Data for crystalline La3I2Br3 at its relaxed geometry.

## Properties
The calculation puts the energy at -4.30 eV/atom. The space-group type is No. 1.

abc: 6.1527 7.7595 14.2949
angles: 91.38 90.27 113.55
Closest atoms and distances in Å follow each position.
Positions (direct):
La  0.8425  0.6892  0.0353  3 Br 2.99-3.32, 3 I 3.20-3.23
Br  0.7263  0.4518  0.2323  4 La 3.08-3.32
Br  0.0548  0.1135  0.1155  3 La 3.05-3.20
La  0.1612  0.3163  0.5294  4 Br 3.02-3.29, 2 I 3.22-3.32
La  0.2056  0.4094  0.2739  4 Br 2.97-3.15, 1 I 3.23
Br  0.6597  0.3127  0.5777  4 La 3.08-3.38
I  0.3605  0.7237  0.0960  4 La 3.20-3.43
Br  0.2550  0.5125  0.7404  4 La 3.12-3.29
La  0.7829  0.5683  0.7810  3 Br 2.96-3.16, 2 I 3.23-3.29
Br  0.9591  0.9452  0.8734  3 La 2.96-3.12
La  0.8165  0.6251  0.4325  3 Br 3.08-3.13, 3 I 3.16-3.27
La  0.1778  0.3646  0.9436  3 Br 3.08-3.12, 3 I 3.15-3.31
I  0.9580  0.8934  0.6221  3 La 3.27-3.32, 1 Br 3.60
I  0.3678  0.7269  0.4401  4 La 3.16-3.23
I  0.6287  0.2672  0.9458  4 La 3.15-3.23
Br  0.0237  0.0403  0.3653  3 La 2.97-3.13